Entry P
Material: YPbSe3
Method: DFT, PBE
State: relaxed

## Properties
DOS(E_F) = 0.17 states/eV/atom
Total magnetic moment = 0.000 μB/atom

Lattice parameters (Å, degrees): 5.349 5.349 5.349 90.00 90.00 90.00
Space group Pm-3m (No. 221)
Unique sites:
Y  0.000  0.000  0.000
Pb  0.500  0.500  0.500
Se  0.000  0.500  0.500

=====

Entry Q
Material: YPbSe3
Method: DFT, PBE
State: relaxed

## Properties
DOS(E_F) = 0.56 states/eV/atom
Total magnetic moment = 0.000 μB/atom

Lattice parameters (Å, degrees): 5.447 5.447 5.447 90.00 90.00 90.00
Space group Pm-3m (No. 221)
Unique sites:
Y  0.000  0.000  0.000
Pb  0.500  0.500  0.500
Se  0.000  0.000  0.500

=====

What should be chosen as the most stable of them? Choose entry Q.

=====

Entry P
Material: Y2PbSe4
Method: DFT, PBE
State: relaxed

## Properties
Total magnetic moment = 0.000 μB/atom

Lattice parameters (Å, degrees): 4.125 13.586 14.200 90.00 90.00 90.00
Space group Cmcm (No. 63)
Unique sites:
Y  0.000  0.136  0.067
Pb  0.000  0.396  0.250
Se  0.000  0.050  0.250
Se  0.000  0.230  0.615
Se  0.000  0.500  0.000

=====

Entry Q
Material: Y2PbSe4
Method: DFT, PBE
State: relaxed

## Properties
DOS(E_F) = 0.03 states/eV/atom
Total magnetic moment = 0.000 μB/atom

Lattice parameters (Å, degrees): 5.560 5.560 14.468 90.00 90.00 90.00
Space group I4/mmm (No. 139)
Unique sites:
Y  0.000  0.000  0.122
Pb  0.000  0.000  0.500
Se  0.000  0.000  0.298
Se  0.000  0.500  0.000

=====

What should be chosen as the most stable of them? Choose entry P.

=====

Entry P
Material: Y4PbSe2
Method: DFT, PBE
State: relaxed

## Properties
DOS(E_F) = 0.83 states/eV/atom
Total magnetic moment = 0.075 μB/atom

Lattice parameters (Å, degrees): 3.9388 3.9388 43.2347 90.00 90.00 120.00
Space group R-3m (No. 166, hexagonal axes)
Unique sites:
Y  0.0000  0.0000  0.1343
Y  0.0000  0.0000  0.2807
Pb  0.0000  0.0000  0.0000
Se  0.0000  0.0000  0.4255

=====

Entry Q
Material: Y4PbSe2
Method: DFT, PBE
State: relaxed

## Properties
DOS(E_F) = 0.76 states/eV/atom
Total magnetic moment = 0.000 μB/atom

Lattice parameters (Å, degrees): 4.228 13.196 13.759 90.00 90.00 90.00
Space group Cmcm (No. 63)
Unique sites:
Y  0.000  0.000  0.000
Y  0.000  0.268  0.122
Y  0.000  0.437  0.750
Pb  0.000  0.109  0.750
Se  0.000  0.365  0.559

=====

What should be chosen as the most stable of them? Choose entry Q.

=====

Entry P
Material: YPb3Se
Method: DFT, PBE
State: relaxed

## Properties
DOS(E_F) = 1.45 states/eV/atom
Total magnetic moment = 0.000 μB/atom

Lattice parameters (Å, degrees): 5.935 5.935 5.935 90.00 90.00 90.00
Space group Pm-3m (No. 221)
Unique sites:
Y  0.000  0.000  0.000
Pb  0.000  0.000  0.500
Se  0.500  0.500  0.500

=====

Entry Q
Material: YPb3Se
Method: DFT, PBE
State: relaxed

## Properties
DOS(E_F) = 1.20 states/eV/atom
Total magnetic moment = 0.000 μB/atom

Lattice parameters (Å, degrees): 5.622 5.622 5.622 90.00 90.00 90.00
Space group Pm-3m (No. 221)
Unique sites:
Y  0.000  0.000  0.000
Pb  0.000  0.500  0.500
Se  0.500  0.500  0.500

=====

What should be chosen as the most stable of them? Choose entry Q.

=====

Entry P
Material: Zn2PbSe
Method: DFT, PBE
State: relaxed

## Properties
DOS(E_F) = 0.43 states/eV/atom
Total magnetic moment = 0.000 μB/atom

Lattice parameters (Å, degrees): 4.056 4.056 10.911 90.00 90.00 90.00
Space group I-4m2 (No. 119)
Unique sites:
Zn  0.000  0.000  0.000
Zn  0.000  0.500  0.250
Pb  0.000  0.500  0.750
Se  0.000  0.000  0.500

=====

Entry Q
Material: Zn2PbSe
Method: DFT, PBE
State: relaxed

## Properties
DOS(E_F) = 0.56 states/eV/atom
Total magnetic moment = 0.000 μB/atom

Lattice parameters (Å, degrees): 3.9024 3.9024 20.8569 90.00 90.00 120.00
Space group R3m (No. 160, hexagonal axes)
Unique sites:
Zn  0.0000  0.0000  0.0000
Zn  0.0000  0.0000  0.2642
Pb  0.0000  0.0000  0.7632
Se  0.0000  0.0000  0.5340

=====

What should be chosen as the most stable of them? Choose entry Q.

=====

Entry P
Material: Zn2PbSe
Method: DFT, PBE
State: relaxed

## Properties
DOS(E_F) = 0.38 states/eV/atom
Total magnetic moment = 0.000 μB/atom

Lattice parameters (Å, degrees): 3.488 3.488 7.133 90.00 90.00 90.00
Space group P4/mmm (No. 123)
Unique sites:
Zn  0.000  0.000  0.197
Pb  0.500  0.500  0.500
Se  0.500  0.500  0.000

=====

Entry Q
Material: Zn2PbSe
Method: DFT, PBE
State: relaxed

## Properties
DOS(E_F) = 0.28 states/eV/atom
Total magnetic moment = 0.000 μB/atom

Lattice parameters (Å, degrees): 5.011 3.782 5.408 90.00 107.01 90.00
Space group P2/m (No. 10)
Unique sites:
Zn  0.159  0.000  0.234
Pb  0.500  0.500  0.000
Se  0.000  0.500  0.500

=====

What should be chosen as the most stable of them? Choose entry Q.

=====

Entry P
Material: ZnPbSe
Method: DFT, PBE
State: relaxed

## Properties
DOS(E_F) = 0.23 states/eV/atom
Total magnetic moment = 0.000 μB/atom

Lattice parameters (Å, degrees): 6.868 3.901 11.938 90.00 97.71 90.00
Space group Cm (No. 8)
Unique sites:
Zn  0.000  0.000  0.000
Zn  0.097  0.500  0.707
Pb  0.136  0.000  0.509
Pb  0.413  0.000  0.293
Se  0.188  0.500  0.084
Se  0.447  0.500  0.791

=====

Entry Q
Material: ZnPbSe
Method: DFT, PBE
State: relaxed

## Properties
DOS(E_F) = 0.05 states/eV/atom
Total magnetic moment = 0.000 μB/atom

Lattice parameters (Å, degrees): 7.090 7.090 7.090 90.00 90.00 90.00
Space group F-43m (No. 216)
Unique sites:
Zn  0.000  0.000  0.000
Pb  0.000  0.000  0.500
Se  0.250  0.250  0.750

=====

What should be chosen as the most stable of them? Choose entry P.

=====

Entry P
Material: ZnPbSe
Method: DFT, PBE
State: relaxed

## Properties
DOS(E_F) = 0.37 states/eV/atom
Total magnetic moment = 0.000 μB/atom

Lattice parameters (Å, degrees): 3.9444 3.9444 5.5143 90.00 90.00 120.00
Space group P3m1 (No. 156)
Unique sites:
Zn  0.0000  0.0000  0.0000
Pb  0.6667  0.3333  0.3729
Se  0.3333  0.6667  0.7848

=====

Entry Q
Material: ZnPbSe
Method: DFT, PBE
State: relaxed

## Properties
DOS(E_F) = 0.33 states/eV/atom
Total magnetic moment = 0.000 μB/atom

Lattice parameters (Å, degrees): 3.591 3.591 11.616 90.00 90.00 90.00
Space group I4mm (No. 107)
Unique sites:
Zn  0.000  0.000  0.000
Pb  0.000  0.000  0.312
Se  0.000  0.000  0.564

=====

What should be chosen as the most stable of them? Choose entry P.